Record 1
{"formula": "TmMgGaRu", "functional": "PBE", "state": "relaxed", "sg": "F-43m, No. 216", "vol_a3_per_atom": 18.4, "dft_energy_ev_per_atom": -4.84, "ef_ev_per_atom": -0.249, "crystal_system": "cubic", "cell": [[-3.698, 2.034, -2.076], [-1.806, -1.854, -3.927], [-4.207, -2.099, 0.109]], "species": ["Ga", "Tm", "Ru", "Mg"], "fractional_positions": [[0.250, 0.250, 0.250], [0.500, 0.500, 0.500], [0.750, 0.750, 0.750], [0.000, 0.000, 0.000]]}

=====

Record 2
{"formula": "Ba2Mg4Cd3Hg", "functional": "PBE", "state": "relaxed", "sg": "P-4m2, No. 115", "vol_a3_per_atom": 29.7, "dft_energy_ev_per_atom": -1.55, "ef_ev_per_atom": -0.224, "crystal_system": "tetragonal", "cell": [[4.809, 0.000, 0.000], [0.000, 4.809, 0.000], [0.000, 0.000, 12.850]], "species": ["Ba", "Ba", "Mg", "Mg", "Mg", "Mg", "Cd", "Cd", "Cd", "Hg"], "fractional_positions": [[0.000, 0.500, 0.746], [0.500, 0.000, 0.254], [0.500, 0.500, 0.000], [0.000, 0.000, 0.000], [0.000, 0.500, 0.371], [0.500, 0.000, 0.629], [0.500, 0.000, 0.859], [0.000, 0.500, 0.141], [0.000, 0.000, 0.500], [0.500, 0.500, 0.500]]}

=====

Record 3
{"formula": "Cd2InPtI", "functional": "PBE", "state": "relaxed", "sg": "P4/mmm, No. 123", "vol_a3_per_atom": 34.1, "e_form_raw_ev_per_atom": 0.84, "dft_energy_ev_per_atom": -1.59, "relative_energy_ev_per_atom": 1.104, "crystal_system": "tetragonal", "cell": [[-3.100, 2.379, -3.568], [-2.694, -5.328, -1.212], [-3.594, 0.961, 3.764]], "species": ["Cd", "Cd", "I", "In", "Pt"], "fractional_positions": [[0.500, 0.000, 0.000], [0.000, 0.000, 0.500], [0.000, 0.500, 0.000], [0.000, 0.000, 0.000], [0.500, 0.500, 0.500]]}

=====

Record 4
{"formula": "CaMgOs4", "functional": "PBE", "state": "relaxed", "sg": "F-43m, No. 216", "vol_a3_per_atom": 17.3, "dft_energy_ev_per_atom": -7.86, "ef_ev_per_atom": 0.222, "crystal_system": "cubic", "cell": [[-1.756, 2.737, 4.158], [-1.490, 5.029, -0.590], [-5.105, 1.297, 0.341]], "species": ["Os", "Os", "Os", "Os", "Mg", "Ca"], "fractional_positions": [[0.375, 0.375, 0.375], [0.375, 0.375, 0.876], [0.375, 0.876, 0.375], [0.876, 0.375, 0.375], [0.000, 0.000, 0.000], [0.750, 0.750, 0.750]]}

=====

Record 5
{"formula": "AlSbOs2", "functional": "PBE", "state": "relaxed", "sg": "Cmm2, No. 35", "vol_a3_per_atom": 17.7, "e_form_raw_ev_per_atom": 0.65, "dft_energy_ev_per_atom": -6.93, "relative_energy_ev_per_atom": 0.581, "crystal_system": "orthorhombic", "cell": [[-2.152, 1.795, 0.710], [-0.572, -2.796, -0.457], [1.556, -1.856, 9.403]], "species": ["Al", "Sb", "Os", "Os"], "fractional_positions": [[0.500, 0.500, 0.787], [0.000, 0.000, 0.480], [0.000, 0.000, 0.005], [0.500, 0.500, 0.228]]}

=====

Record 6
{"formula": "Pr2MgSb3Rh4", "functional": "PBE", "state": "relaxed", "sg": "P-4m2, No. 115", "vol_a3_per_atom": 21.3, "e_form_raw_ev_per_atom": -0.81, "dft_energy_ev_per_atom": -6.10, "crystal_system": "tetragonal", "cell": [[4.421, 0.000, 0.000], [0.000, 4.421, 0.000], [0.000, 0.000, 10.884]], "species": ["Rh", "Rh", "Rh", "Rh", "Sb", "Sb", "Sb", "Pr", "Pr", "Mg"], "fractional_positions": [[0.500, 0.500, 0.000], [0.500, 0.000, 0.631], [0.000, 0.500, 0.369], [0.000, 0.000, 0.000], [0.500, 0.000, 0.866], [0.000, 0.500, 0.134], [0.000, 0.000, 0.500], [0.500, 0.000, 0.249], [0.000, 0.500, 0.751], [0.500, 0.500, 0.500]]}

=====

Record 7
{"formula": "SmEuHo", "functional": "PBE", "state": "relaxed", "sg": "P3m1, No. 156", "vol_a3_per_atom": 34.6, "dft_energy_ev_per_atom": -6.47, "ef_ev_per_atom": 0.051, "crystal_system": "trigonal", "cell": [[-1.176, -2.005, 2.822], [2.188, -1.495, -2.519], [7.190, 2.489, 4.766]], "species": ["Eu", "Ho", "Sm"], "fractional_positions": [[0.000, 0.000, 0.997], [0.333, 0.667, 0.657], [0.667, 0.333, 0.346]]}

=====

Record 8
{"formula": "LiDyTmCd", "functional": "PBE", "state": "relaxed", "sg": "F-43m, No. 216", "vol_a3_per_atom": 25.2, "dft_energy_ev_per_atom": -3.09, "ef_ev_per_atom": -0.110, "crystal_system": "cubic", "cell": [[-2.685, -4.103, 1.808], [-0.047, -4.482, -2.687], [2.540, -4.179, 1.844]], "species": ["Li", "Tm", "Cd", "Dy"], "fractional_positions": [[0.250, 0.250, 0.250], [0.000, 0.000, 0.000], [0.750, 0.750, 0.750], [0.500, 0.500, 0.500]]}